First-principles (meta-GGA SCAN) data for a PBEsol-optimized structure of NaW3S, as listed in Alexandria. Values from VASP.

total magnetic moment: 0.00 μB/cell
final energy: -216.50 eV for the cell shown
SG: Pm-3m (221)
formation energy without anion corrections: 1.28 eV/atom

Quantum ESPRESSO input file:
```
&SYSTEM
  ibrav = 0, nat = 5, ntyp = 3
/
ATOMIC_SPECIES
Na 22.99 Na.upf
W 183.84 W.upf
S 32.06 S.upf
CELL_PARAMETERS angstrom
4.4452 0.0000 0.0000
0.0000 4.4452 0.0000
0.0000 0.0000 4.4452
ATOMIC_POSITIONS crystal
Na 0.0000 0.0000 0.0000
W 0.0000 0.5000 0.5000
W 0.5000 0.0000 0.5000
W 0.5000 0.5000 0.0000
S 0.5000 0.5000 0.5000
```



First-principles (meta-GGA SCAN) data for a PBEsol-optimized structure of NaY3S, as listed in Alexandria. Values from VASP.

total magnetic moment: 0.00 μB/cell
final energy: -100.46 eV for the cell shown
SG: Pm-3m (221)
formation energy without anion corrections: -0.62 eV/atom

Quantum ESPRESSO input file:
```
&SYSTEM
  ibrav = 0, nat = 5, ntyp = 3
/
ATOMIC_SPECIES
Na 22.99 Na.upf
Y 88.91 Y.upf
S 32.06 S.upf
CELL_PARAMETERS angstrom
5.2558 0.0000 0.0000
0.0000 5.2558 0.0000
0.0000 0.0000 5.2558
ATOMIC_POSITIONS crystal
Na 0.0000 0.0000 0.0000
Y 0.0000 0.5000 0.5000
Y 0.5000 0.0000 0.5000
Y 0.5000 0.5000 0.0000
S 0.5000 0.5000 0.5000
```



First-principles (meta-GGA SCAN) data for a PBEsol-optimized structure of NaYZrS4, as listed in Alexandria. Values from VASP.

total magnetic moment: 0.00 μB/cell
final energy: -114.88 eV for the cell shown
SG: P2/m (10)
formation energy without anion corrections: -1.94 eV/atom

Quantum ESPRESSO input file:
```
&SYSTEM
  ibrav = 0, nat = 7, ntyp = 4
/
ATOMIC_SPECIES
Na 22.99 Na.upf
Y 88.91 Y.upf
Zr 91.22 Zr.upf
S 32.06 S.upf
CELL_PARAMETERS angstrom
6.5099 0.0000 0.0000
0.0000 3.7998 0.0000
-2.1140 0.0000 6.6210
ATOMIC_POSITIONS crystal
Na 0.0000 0.0000 0.0000
Y 0.0000 0.5000 0.5000
Zr 0.5000 0.0000 0.5000
S 0.2561 0.0000 0.7210
S 0.2777 0.5000 0.2786
S 0.7223 0.5000 0.7214
S 0.7439 0.0000 0.2790
```



First-principles (meta-GGA SCAN) data for a PBEsol-optimized structure of Na2Zn2S3, as listed in Alexandria. Values from VASP.

total magnetic moment: 0.00 μB/cell
final energy: -288.14 eV for the cell shown
SG: C2/c (15)
formation energy without anion corrections: -1.10 eV/atom

Quantum ESPRESSO input file:
```
&SYSTEM
  ibrav = 0, nat = 28, ntyp = 3
/
ATOMIC_SPECIES
Na 22.99 Na.upf
Zn 65.41 Zn.upf
S 32.06 S.upf
CELL_PARAMETERS angstrom
7.2808 -6.5015 0.0000
7.2808 6.5015 0.0000
-2.9580 0.0000 5.9088
ATOMIC_POSITIONS crystal
Na 0.0691 0.9309 0.7500
Na 0.2175 0.7825 0.2500
Na 0.3107 0.4822 0.3728
Na 0.4822 0.3107 0.8728
Na 0.5178 0.6893 0.1272
Na 0.6893 0.5178 0.6272
Na 0.7825 0.2175 0.7500
Na 0.9309 0.0691 0.2500
Zn 0.0482 0.5829 0.7399
Zn 0.1389 0.2919 0.7994
Zn 0.2919 0.1389 0.2994
Zn 0.4171 0.9518 0.7601
Zn 0.5829 0.0482 0.2399
Zn 0.7081 0.8611 0.7006
Zn 0.8611 0.7081 0.2006
Zn 0.9518 0.4171 0.2601
S 0.0779 0.6470 0.4448
S 0.0797 0.2275 0.0737
S 0.2275 0.0797 0.5737
S 0.2680 0.5068 0.9412
S 0.3530 0.9221 0.0552
S 0.4932 0.7320 0.5588
S 0.5068 0.2680 0.4412
S 0.6470 0.0779 0.9448
S 0.7320 0.4932 0.0588
S 0.7725 0.9203 0.4263
S 0.9203 0.7725 0.9263
S 0.9221 0.3530 0.5552
```



First-principles (meta-GGA SCAN) data for a PBEsol-optimized structure of Na2Zn2S3, as listed in Alexandria. Values from VASP.

total magnetic moment: 0.00 μB/cell
final energy: -286.91 eV for the cell shown
SG: P4_32_12 (96)
formation energy without anion corrections: -1.05 eV/atom

Quantum ESPRESSO input file:
```
&SYSTEM
  ibrav = 0, nat = 28, ntyp = 3
/
ATOMIC_SPECIES
Na 22.99 Na.upf
Zn 65.41 Zn.upf
S 32.06 S.upf
CELL_PARAMETERS angstrom
6.9630 0.0000 0.0000
0.0000 6.9630 0.0000
0.0000 0.0000 11.5117
ATOMIC_POSITIONS crystal
Na 0.0598 0.3217 0.3117
Na 0.1783 0.5598 0.0617
Na 0.3217 0.0598 0.6883
Na 0.4402 0.8217 0.4383
Na 0.5598 0.1783 0.9383
Na 0.6783 0.9402 0.1883
Na 0.8217 0.4402 0.5617
Na 0.9402 0.6783 0.8117
Zn 0.0322 0.1975 0.8846
Zn 0.1975 0.0322 0.1154
Zn 0.3025 0.5322 0.6346
Zn 0.4678 0.6975 0.8654
Zn 0.5322 0.3025 0.3654
Zn 0.6975 0.4678 0.1346
Zn 0.8025 0.9678 0.6154
Zn 0.9678 0.8025 0.3846
S 0.0734 0.7697 0.5773
S 0.2032 0.7968 0.2500
S 0.2303 0.9266 0.9227
S 0.2697 0.4266 0.8273
S 0.2968 0.2968 0.5000
S 0.4266 0.2697 0.1727
S 0.5734 0.7303 0.6727
S 0.7032 0.7032 0.0000
S 0.7303 0.5734 0.3273
S 0.7697 0.0734 0.4227
S 0.7968 0.2032 0.7500
S 0.9266 0.2303 0.0773
```



First-principles (meta-GGA SCAN) data for a PBEsol-optimized structure of Na2Zn2S3, as listed in Alexandria. Values from VASP.

total magnetic moment: 0.00 μB/cell
final energy: -143.37 eV for the cell shown
SG: P2_1/c (14)
formation energy without anion corrections: -1.05 eV/atom

Quantum ESPRESSO input file:
```
&SYSTEM
  ibrav = 0, nat = 14, ntyp = 3
/
ATOMIC_SPECIES
Na 22.99 Na.upf
Zn 65.41 Zn.upf
S 32.06 S.upf
CELL_PARAMETERS angstrom
6.8789 0.0000 0.0000
0.0000 7.0511 0.0000
-3.3159 0.0000 6.0601
ATOMIC_POSITIONS crystal
Na 0.1468 0.1665 0.4043
Na 0.1468 0.3335 0.9043
Na 0.8532 0.6665 0.0957
Na 0.8532 0.8335 0.5957
Zn 0.3433 0.6165 0.5708
Zn 0.3433 0.8835 0.0708
Zn 0.6567 0.1165 0.9292
Zn 0.6567 0.3835 0.4292
S 0.0000 0.0000 0.0000
S 0.0000 0.5000 0.5000
S 0.3637 0.5972 0.2398
S 0.3637 0.9028 0.7398
S 0.6363 0.0972 0.2602
S 0.6363 0.4028 0.7602
```



First-principles (meta-GGA SCAN) data for a PBEsol-optimized structure of Na4Zn3S5, as listed in Alexandria. Values from VASP.

total magnetic moment: 0.00 μB/cell
final energy: -476.35 eV for the cell shown
SG: Pnma (62)
formation energy without anion corrections: -1.13 eV/atom

Quantum ESPRESSO input file:
```
&SYSTEM
  ibrav = 0, nat = 48, ntyp = 3
/
ATOMIC_SPECIES
Na 22.99 Na.upf
Zn 65.41 Zn.upf
S 32.06 S.upf
CELL_PARAMETERS angstrom
13.0431 0.0000 0.0000
0.0000 3.8689 0.0000
0.0000 0.0000 18.4987
ATOMIC_POSITIONS crystal
Na 0.0124 0.2500 0.0817
Na 0.0118 0.7500 0.2623
Na 0.1043 0.2500 0.5477
Na 0.2368 0.7500 0.1643
Na 0.2632 0.2500 0.6643
Na 0.3957 0.7500 0.0477
Na 0.4882 0.2500 0.7623
Na 0.4876 0.7500 0.5817
Na 0.5124 0.2500 0.4183
Na 0.5118 0.7500 0.2377
Na 0.6043 0.2500 0.9523
Na 0.7368 0.7500 0.3357
Na 0.7632 0.2500 0.8357
Na 0.8957 0.7500 0.4523
Na 0.9882 0.2500 0.7377
Na 0.9876 0.7500 0.9183
Zn 0.0818 0.2500 0.3667
Zn 0.1722 0.7500 0.7823
Zn 0.2081 0.2500 0.9581
Zn 0.2919 0.7500 0.4581
Zn 0.3278 0.2500 0.2823
Zn 0.4182 0.7500 0.8667
Zn 0.5818 0.2500 0.1333
Zn 0.6722 0.7500 0.7177
Zn 0.7081 0.2500 0.5419
Zn 0.7919 0.7500 0.0419
Zn 0.8278 0.2500 0.2177
Zn 0.9182 0.7500 0.6333
S 0.0992 0.7500 0.6617
S 0.1148 0.7500 0.4349
S 0.1201 0.2500 0.8472
S 0.1570 0.2500 0.2533
S 0.1592 0.7500 0.0224
S 0.3408 0.2500 0.5224
S 0.3430 0.7500 0.7533
S 0.3799 0.7500 0.3472
S 0.3852 0.2500 0.9349
S 0.4008 0.2500 0.1617
S 0.5992 0.7500 0.8383
S 0.6148 0.7500 0.0651
S 0.6201 0.2500 0.6528
S 0.6570 0.2500 0.2467
S 0.6592 0.7500 0.4776
S 0.8408 0.2500 0.9776
S 0.8430 0.7500 0.7467
S 0.8799 0.7500 0.1528
S 0.8852 0.2500 0.5651
S 0.9008 0.2500 0.3383
```



First-principles (meta-GGA SCAN) data for a PBEsol-optimized structure of Na6ZnS4, as listed in Alexandria. Values from VASP.

total magnetic moment: 0.00 μB/cell
final energy: -181.78 eV for the cell shown
SG: P6_3mc (186)
formation energy without anion corrections: -1.23 eV/atom

Quantum ESPRESSO input file:
```
&SYSTEM
  ibrav = 0, nat = 22, ntyp = 3
/
ATOMIC_SPECIES
Na 22.99 Na.upf
Zn 65.41 Zn.upf
S 32.06 S.upf
CELL_PARAMETERS angstrom
8.8776 0.0000 0.0000
-4.4388 7.6882 0.0000
0.0000 0.0000 6.8121
ATOMIC_POSITIONS crystal
Na 0.0591 0.5296 0.0000
Na 0.1475 0.2949 0.6753
Na 0.1475 0.8525 0.6753
Na 0.2949 0.1475 0.1753
Na 0.4704 0.5296 0.0000
Na 0.4704 0.9409 0.0000
Na 0.5296 0.0591 0.5000
Na 0.5296 0.4704 0.5000
Na 0.7051 0.8525 0.6753
Na 0.8525 0.1475 0.1753
Na 0.8525 0.7051 0.1753
Na 0.9409 0.4704 0.5000
Zn 0.3333 0.6667 0.3820
Zn 0.6667 0.3333 0.8820
S 0.1882 0.3764 0.2757
S 0.1882 0.8118 0.2757
S 0.3333 0.6667 0.7277
S 0.3764 0.1882 0.7757
S 0.6236 0.8118 0.2757
S 0.6667 0.3333 0.2277
S 0.8118 0.1882 0.7757
S 0.8118 0.6236 0.7757
```